<A>
Computed, not measured: RbNb3Bi after structural relaxation at the PBE level of DFT.

The calculation puts the density of states at the Fermi level at 6.41 states/eV per cell.

Cell and atoms, written as CIF:
```
data_RbNb3Bi
_chemical_formula_sum 'Rb1 Nb3 Bi1'
_space_group_name_H-M_alt 'P m -3 m'
_space_group_IT_number 221
_space_group_name_Hall '-P 4 2 3'
_cell_length_a 4.916
_cell_length_b 4.916
_cell_length_c 4.916
_cell_angle_alpha 90.00
_cell_angle_beta 90.00
_cell_angle_gamma 90.00
loop_
_atom_site_label
_atom_site_type_symbol
_atom_site_fract_x
_atom_site_fract_y
_atom_site_fract_z
_atom_site_occupancy
Rb1 Rb 0.000 0.000 0.000 1
Nb1 Nb 0.000 0.000 0.500 1
Bi1 Bi 0.500 0.500 0.500 1
```

=====

<B>
Computed, not measured: RbNb3Bi after structural relaxation at the PBE level of DFT.

The calculation puts the density of states at the Fermi level at 7.93 states/eV per cell.

Cell and atoms, written as CIF:
```
data_RbNb3Bi
_chemical_formula_sum 'Rb1 Nb3 Bi1'
_space_group_name_H-M_alt 'P m -3 m'
_space_group_IT_number 221
_space_group_name_Hall '-P 4 2 3'
_cell_length_a 5.372
_cell_length_b 5.372
_cell_length_c 5.372
_cell_angle_alpha 90.00
_cell_angle_beta 90.00
_cell_angle_gamma 90.00
loop_
_atom_site_label
_atom_site_type_symbol
_atom_site_fract_x
_atom_site_fract_y
_atom_site_fract_z
_atom_site_occupancy
Rb1 Rb 0.000 0.000 0.000 1
Nb1 Nb 0.000 0.500 0.500 1
Bi1 Bi 0.500 0.500 0.500 1
```

=====

The structure shown above that is most stable: <B>.